# 1
# PBE-GGA Ba2ZrCr, optimized geometry
# Uncorrected energy: -4.61 eV/atom
# ρ: 4.94 g/cm³
# Polymorph energy (0 for the lowest one): 359.0 meV per atom
# Energy of formation: 85.8 kJ per mole of atoms
data_Ba2ZrCr
_chemical_formula_sum 'Ba2 Zr1 Cr1'
_cell_length_a 6.053
_cell_length_b 6.053
_cell_length_c 3.833
_cell_angle_alpha 90.00
_cell_angle_beta 90.00
_cell_angle_gamma 90.00
_space_group_name_H-M_alt 'P 4/m m m'
_space_group_IT_number 123
_space_group_name_Hall '-P 4 2'
loop_
_atom_site_label
_atom_site_fract_x
_atom_site_fract_y
_atom_site_fract_z
_atom_site_occupancy
Ba1 0.000 0.500 0.000 1
Zr1 0.000 0.000 0.500 1
Cr1 0.500 0.500 0.500 1

=====

# 2
# PBE-GGA Ba2ZrCr, optimized geometry
# Uncorrected energy: -4.97 eV/atom
# ρ: 4.85 g/cm³
# Polymorph energy (0 for the lowest one): 0.0 meV per atom
# Energy of formation: 51.2 kJ per mole of atoms
data_Ba2ZrCr
_chemical_formula_sum 'Ba2 Zr1 Cr1'
_cell_length_a 3.793
_cell_length_b 3.793
_cell_length_c 9.952
_cell_angle_alpha 90.00
_cell_angle_beta 90.00
_cell_angle_gamma 90.00
_space_group_name_H-M_alt 'P 4 m m'
_space_group_IT_number 99
loop_
_space_group_symop_operation_xyz
'x,y,z'
'-y,x,z'
'-x,-y,z'
'y,-x,z'
'-x,y,z'
'y,x,z'
'x,-y,z'
'-y,-x,z'
loop_
_atom_site_label
_atom_site_fract_x
_atom_site_fract_y
_atom_site_fract_z
_atom_site_occupancy
Ba1 0.000 0.000 0.000 1
Ba2 0.500 0.500 0.383 1
Zr1 0.500 0.500 0.731 1
Cr1 0.000 0.000 0.625 1

=====

# 3
# PBE-GGA BaZr2Cr, optimized geometry
# Uncorrected energy: -6.52 eV/atom
# ρ: 5.50 g/cm³
# Polymorph energy (0 for the lowest one): 250.7 meV per atom
# Energy of formation: 61.4 kJ per mole of atoms
data_BaZr2Cr
_chemical_formula_sum 'Ba2 Zr4 Cr2'
_cell_length_a 3.325
_cell_length_b 4.389
_cell_length_c 15.373
_cell_angle_alpha 90.00
_cell_angle_beta 90.00
_cell_angle_gamma 90.00
_space_group_name_H-M_alt 'I m m 2'
_space_group_IT_number 44
loop_
_space_group_symop_operation_xyz
'x,y,z'
'-x,-y,z'
'-x,y,z'
'x,-y,z'
'x+1/2,y+1/2,z+1/2'
'-x+1/2,-y+1/2,z+1/2'
'-x+1/2,y+1/2,z+1/2'
'x+1/2,-y+1/2,z+1/2'
loop_
_atom_site_label
_atom_site_fract_x
_atom_site_fract_y
_atom_site_fract_z
_atom_site_occupancy
Ba1 0.000 0.000 0.000 1
Zr1 0.000 0.000 0.327 1
Zr2 0.000 0.500 0.196 1
Cr1 0.000 0.500 0.700 1

=====

# 4
# PBE-GGA BaZr2Cr, optimized geometry
# Uncorrected energy: -6.77 eV/atom
# ρ: 5.98 g/cm³
# Polymorph energy (0 for the lowest one): 0.0 meV per atom
# Energy of formation: 37.3 kJ per mole of atoms
data_BaZr2Cr
_chemical_formula_sum 'Ba2 Zr4 Cr2'
_cell_length_a 4.644
_cell_length_b 4.668
_cell_length_c 9.526
_cell_angle_alpha 90.00
_cell_angle_beta 90.00
_cell_angle_gamma 90.00
_space_group_name_H-M_alt 'C m m m'
_space_group_IT_number 65
_space_group_name_Hall '-C 2 2'
loop_
_atom_site_label
_atom_site_fract_x
_atom_site_fract_y
_atom_site_fract_z
_atom_site_occupancy
Ba1 0.000 0.000 0.000 1
Zr1 0.000 0.500 0.341 1
Cr1 0.000 0.000 0.500 1

=====

# 5
# PBE-GGA Ba2ZrCr, optimized geometry
# Uncorrected energy: -4.63 eV/atom
# ρ: 5.24 g/cm³
# Polymorph energy (0 for the lowest one): 345.7 meV per atom
# Energy of formation: 84.5 kJ per mole of atoms
data_Ba2ZrCr
_chemical_formula_sum 'Ba4 Zr2 Cr2'
_cell_length_a 5.506
_cell_length_b 5.506
_cell_length_c 8.743
_cell_angle_alpha 90.00
_cell_angle_beta 90.00
_cell_angle_gamma 90.00
_space_group_name_H-M_alt 'I -4 m 2'
_space_group_IT_number 119
_space_group_name_Hall 'I -4 -2'
loop_
_atom_site_label
_atom_site_fract_x
_atom_site_fract_y
_atom_site_fract_z
_atom_site_occupancy
Ba1 0.000 0.000 0.000 1
Ba2 0.000 0.500 0.250 1
Zr1 0.000 0.000 0.500 1
Cr1 0.000 0.500 0.750 1

=====

# 6
# PBE-GGA Ba2ZrCr, optimized geometry
# Uncorrected energy: -4.61 eV/atom
# ρ: 4.85 g/cm³
# Polymorph energy (0 for the lowest one): 363.7 meV per atom
# Energy of formation: 86.3 kJ per mole of atoms
data_Ba2ZrCr
_chemical_formula_sum 'Ba2 Zr1 Cr1'
_cell_length_a 3.863
_cell_length_b 4.667
_cell_length_c 7.937
_cell_angle_alpha 90.00
_cell_angle_beta 90.00
_cell_angle_gamma 90.00
_space_group_name_H-M_alt 'P m m m'
_space_group_IT_number 47
loop_
_space_group_symop_operation_xyz
'x,y,z'
'-x,-y,-z'
'-x,-y,z'
'x,y,-z'
'x,-y,-z'
'-x,y,z'
'-x,y,-z'
'x,-y,z'
loop_
_atom_site_label
_atom_site_fract_x
_atom_site_fract_y
_atom_site_fract_z
_atom_site_occupancy
Ba1 0.000 0.000 0.242 1
Zr1 0.500 0.500 0.500 1
Cr1 0.500 0.500 0.000 1

=====

# 7
# PBE-GGA Ba2ZrCr, optimized geometry
# Uncorrected energy: -4.59 eV/atom
# ρ: 4.94 g/cm³
# Polymorph energy (0 for the lowest one): 386.7 meV per atom
# Energy of formation: 88.5 kJ per mole of atoms
data_Ba2ZrCr
_chemical_formula_sum 'Ba4 Zr2 Cr2'
_cell_length_a 5.389
_cell_length_b 5.389
_cell_length_c 9.665
_cell_angle_alpha 90.00
_cell_angle_beta 90.00
_cell_angle_gamma 90.00
_space_group_name_H-M_alt 'I 4/m m m'
_space_group_IT_number 139
_space_group_name_Hall '-I 4 2'
loop_
_atom_site_label
_atom_site_fract_x
_atom_site_fract_y
_atom_site_fract_z
_atom_site_occupancy
Ba1 0.000 0.500 0.250 1
Zr1 0.000 0.000 0.000 1
Cr1 0.000 0.000 0.500 1

=====

# 8
# PBE-GGA Ba2ZrCr, optimized geometry
# Uncorrected energy: -4.07 eV/atom
# ρ: 5.91 g/cm³
# Polymorph energy (0 for the lowest one): 900.6 meV per atom
# Energy of formation: 138.1 kJ per mole of atoms
data_Ba2ZrCr
_chemical_formula_sum 'Ba8 Zr4 Cr4'
_cell_length_a 7.775
_cell_length_b 7.775
_cell_length_c 7.775
_cell_angle_alpha 90.00
_cell_angle_beta 90.00
_cell_angle_gamma 90.00
_space_group_name_H-M_alt 'F m -3 m'
_space_group_IT_number 225
_space_group_name_Hall '-F 4 2 3'
loop_
_atom_site_label
_atom_site_fract_x
_atom_site_fract_y
_atom_site_fract_z
_atom_site_occupancy
Ba1 0.250 0.250 0.250 1
Zr1 0.000 0.000 0.000 1
Cr1 0.000 0.000 0.500 1